No. 1
VASP calculation (PBE-GGA) on crystalline Na2YPCO7 at its relaxed geometry.

It has space group P2_1/m (No. 11), with a = 5.148 Å, b = 7.009 Å, c = 9.479 Å, α = 90.00°, β = 90.28° and γ = 90.00°. Symmetry generates all atoms from Na at (0.243, 0.010, 0.208), Y at (0.221, 0.250, 0.625), P at (0.299, 0.750, 0.585), C at (0.256, 0.250, 0.916), O at (0.029, 0.250, 0.851), O at (0.184, 0.569, 0.653), O at (0.235, 0.750, 0.422), O at (0.283, 0.250, 0.048), O at (0.398, 0.250, 0.401) and O at (0.457, 0.250, 0.829).

For the spin magnetization, the calculation gives 0.00 μB/f.u. The value obtained for the calculated total energy is -7.223 eV/atom. The value obtained for the formation energy from raw total energies is -2.35 eV/atom.



No. 2
VASP calculation (PBE-GGA) on crystalline CaTc2Rh2 at its relaxed geometry.

It has space group I4/mmm (No. 139), with a = 4.229 Å, b = 4.229 Å, c = 10.378 Å, α = 90.00°, β = 90.00° and γ = 90.00°. Symmetry generates all atoms from Ca at (0.000, 0.000, 0.000), Tc at (0.000, 0.000, 0.392) and Rh at (0.000, 0.500, 0.250).

For the spin magnetization, the calculation gives 0.00 μB/f.u. The value obtained for the distance to the lowest polymorph of the same formula is 120 meV per atom. The value obtained for the calculated total energy is -7.369 eV/atom. As for the energy of formation from the pure elements: 0.1185 eV per atom.



No. 3
VASP calculation (PBE-GGA) on crystalline NaY2Ge at its relaxed geometry.

It has space group I-42d (No. 122), with a = 8.378 Å, b = 8.378 Å, c = 6.781 Å, α = 90.00°, β = 90.00° and γ = 90.00°. Symmetry generates all atoms from Na at (0.000, 0.000, 0.000), Y at (0.203, 0.750, 0.625) and Ge at (0.000, 0.000, 0.500).

For the spin magnetization, the calculation gives 0.00 μB/f.u. The value obtained for the calculated total energy is -4.739 eV/atom. As for the energy of formation from the pure elements: -0.0226 eV per atom.